Record 1
Density functional theory data (PBE) for an optimized crystal structure of CrRu3Rh4.

Values from the calculation:
Formation energy   421 meV per atom
DOS at the Fermi energy   1.40 states/eV per atom
Raw total energy   -126.984 eV per cell
Magnetization   4.6 μB/cell

a = 22.271 Å, b = 2.710 Å, c = 4.132 Å
α = 90.00°, β = 100.24°, γ = 90.00°
Fractional positions:
Cr (0.000, 0.000, 0.000)
Cr (0.500, 0.500, 0.000)
Ru (0.000, 0.500, 0.500)
Ru (0.216, 0.500, 0.715)
Ru (0.284, 0.000, 0.285)
Ru (0.500, 0.000, 0.500)
Ru (0.716, 0.000, 0.715)
Ru (0.784, 0.500, 0.285)
Rh (0.100, 0.000, 0.606)
Rh (0.166, 0.000, 0.168)
Rh (0.334, 0.500, 0.832)
Rh (0.400, 0.500, 0.394)
Rh (0.600, 0.500, 0.606)
Rh (0.666, 0.500, 0.168)
Rh (0.834, 0.000, 0.832)
Rh (0.900, 0.000, 0.394)

---

Record 2
Density functional theory data (PBE) for an optimized crystal structure of Ac2Al4InAg3.

Values from the calculation:
Formation energy   -354 meV per atom
DOS at the Fermi energy   0.47 states/eV per atom
Raw total energy   -38.017 eV per cell
Magnetization   0.0 μB/cell

a = 4.568 Å, b = 4.568 Å, c = 11.146 Å
α = 90.00°, β = 90.00°, γ = 90.00°
Fractional positions:
Ac (0.000, 0.500, 0.244)
Ac (0.500, 0.000, 0.756)
Al (0.000, 0.000, 0.000)
Al (0.000, 0.500, 0.642)
Al (0.500, 0.000, 0.358)
Al (0.500, 0.500, 0.000)
In (0.000, 0.000, 0.500)
Ag (0.000, 0.500, 0.876)
Ag (0.500, 0.000, 0.124)
Ag (0.500, 0.500, 0.500)

---

Record 3
Density functional theory data (PBE) for an optimized crystal structure of NaHgPbCl5.

Values from the calculation:
Formation energy without anion corrections   -8.5 eV/f.u.
DOS at the Fermi energy   0.00 states/eV per atom
Raw total energy   -46.033 eV per cell
Magnetization   0.0 μB/cell

a = 9.789 Å, b = 9.789 Å, c = 8.511 Å
α = 96.86°, β = 96.86°, γ = 133.59°
Fractional positions:
Na (0.095, 0.905, 0.750)
Na (0.905, 0.095, 0.250)
Hg (0.000, 0.500, 0.000)
Hg (0.500, 0.000, 0.500)
Pb (0.488, 0.512, 0.750)
Pb (0.512, 0.488, 0.250)
Cl (0.174, 0.770, 0.506)
Cl (0.227, 0.240, 0.929)
Cl (0.230, 0.826, 0.994)
Cl (0.240, 0.227, 0.429)
Cl (0.364, 0.636, 0.250)
Cl (0.636, 0.364, 0.750)
Cl (0.760, 0.773, 0.571)
Cl (0.770, 0.174, 0.006)
Cl (0.773, 0.760, 0.071)
Cl (0.826, 0.230, 0.494)

---

Record 4
Density functional theory data (PBE) for an optimized crystal structure of La2YThN4.

Values from the calculation:
Formation energy without anion corrections   -12.0 eV/f.u.
DOS at the Fermi energy   0.28 states/eV per atom
Raw total energy   -69.078 eV per cell
Magnetization   0.0 μB/cell

a = 6.300 Å, b = 3.661 Å, c = 6.368 Å
α = 90.00°, β = 109.20°, γ = 90.00°
Fractional positions:
La (0.000, 0.000, 0.000)
La (0.500, 0.500, 0.000)
Y (0.000, 0.500, 0.500)
Th (0.500, 0.000, 0.500)
N (0.246, 0.000, 0.733)
N (0.257, 0.500, 0.270)
N (0.743, 0.500, 0.730)
N (0.754, 0.000, 0.267)

---

Repeat the second record exactly.
Density functional theory data (PBE) for an optimized crystal structure of Ac2Al4InAg3.

Values from the calculation:
Formation energy   -354 meV per atom
DOS at the Fermi energy   0.47 states/eV per atom
Raw total energy   -38.017 eV per cell
Magnetization   0.0 μB/cell

a = 4.568 Å, b = 4.568 Å, c = 11.146 Å
α = 90.00°, β = 90.00°, γ = 90.00°
Fractional positions:
Ac (0.000, 0.500, 0.244)
Ac (0.500, 0.000, 0.756)
Al (0.000, 0.000, 0.000)
Al (0.000, 0.500, 0.642)
Al (0.500, 0.000, 0.358)
Al (0.500, 0.500, 0.000)
In (0.000, 0.000, 0.500)
Ag (0.000, 0.500, 0.876)
Ag (0.500, 0.000, 0.124)
Ag (0.500, 0.500, 0.500)